A relaxed BeTcO2 crystal. Source: Alexandria, functional PBE.

Cell and atoms, written as extended XYZ:
```
4
Lattice="0.000 2.593 2.593 2.593 0.000 2.593 2.593 2.593 0.000" Properties=species:S:1:pos:R:3 pbc="T T T"
Be 0.000 0.000 0.000
Tc 2.593 2.593 2.593
O 1.296 1.296 1.296
O 3.889 3.889 3.889
```

Computed properties:
The calculation puts the formation energy without anion corrections at -0.3853 eV/atom. The value obtained for the energy above the most stable polymorph in this dataset is 4.097 eV per formula unit. As for the crystal system: cubic.

A relaxed TeMoRhI2 crystal. Source: Alexandria, functional PBE.

Cell and atoms, written as extended XYZ:
```
5
Lattice="5.384 0.000 0.000 0.000 5.384 0.000 0.000 0.000 5.255" Properties=species:S:1:pos:R:3 pbc="T T T"
I 0.000 2.692 0.000
I 2.692 0.000 0.000
Mo 2.692 2.692 2.628
Te 0.000 0.000 2.628
Rh 0.000 0.000 0.000
```

Computed properties:
The calculation puts the formation energy without anion corrections at 0.9136 eV/atom. The value obtained for the energy above the most stable polymorph in this dataset is 0.000 eV per formula unit. As for the crystal system: tetragonal.

A relaxed Ga3Pd2 crystal. Source: Alexandria, functional PBE.

Cell and atoms, written as extended XYZ:
```
20
Lattice="6.144 -0.143 0.000 -2.173 5.748 0.000 -1.985 -2.803 9.621" Properties=species:S:1:pos:R:3 pbc="T T T"
Ga 3.797 0.953 4.810
Ga 2.346 -1.095 4.810
Ga 1.260 1.779 0.000
Ga 2.711 3.827 0.000
Ga 2.274 -1.146 7.746
Ga 0.150 4.568 1.875
Ga 3.821 1.038 1.875
Ga -2.274 1.146 7.746
Ga 0.798 1.075 6.685
Ga 2.734 3.912 2.936
Ga 1.236 1.693 2.936
Ga -0.798 -1.075 6.685
Pd -1.087 2.874 6.225
Pd -1.087 2.874 3.396
Pd 1.985 2.803 8.206
Pd 0.000 0.000 1.415
Pd -1.087 2.874 0.413
Pd -1.087 2.874 9.208
Pd 0.000 0.000 4.397
Pd 1.985 2.803 5.224
```

Computed properties:
As for the crystal system: orthorhombic. For the formation energy from the elements, the calculation gives -0.371 eV per atom.

A relaxed OsRuO4 crystal. Source: Alexandria, functional PBE.

Cell and atoms, written as extended XYZ:
```
12
Lattice="4.564 0.160 -1.663 -0.681 4.319 -1.740 -0.281 -0.056 6.471" Properties=species:S:1:pos:R:3 pbc="T T T"
Os 1.632 0.842 4.633
Os 1.971 3.581 -1.564
Ru 0.462 1.911 1.381
Ru 3.140 2.512 1.687
O -0.074 3.777 3.865
O 2.648 2.213 3.633
O 3.396 3.196 -0.268
O 0.206 1.227 3.337
O 1.531 3.663 1.760
O 0.955 2.210 -0.565
O 2.071 0.759 1.308
O 3.676 0.646 -0.797
```

Computed properties:
The calculation puts the formation energy without anion corrections at -0.8126 eV/atom. The value obtained for the energy above the most stable polymorph in this dataset is 0.857 eV per formula unit. As for the crystal system: monoclinic.

A relaxed Na2PRh crystal. Source: Alexandria, functional PBE.

Cell and atoms, written as extended XYZ:
```
8
Lattice="-3.240 0.954 -1.450 1.425 -0.291 -3.376 -3.650 -9.462 -2.726" Properties=species:S:1:pos:R:3 pbc="T T T"
P -0.908 0.331 -2.413
P -1.566 -4.711 -4.258
Rh 0.000 0.000 0.000
Rh -3.899 -4.088 -3.295
Na -2.745 -1.810 -2.003
Na -0.442 -2.424 -2.980
Na -3.412 -6.849 -3.870
Na -4.332 -6.515 -6.252
```

Computed properties:
As for the crystal system: tetragonal. For the formation energy from the elements, the calculation gives 0.157 eV per atom.

A relaxed LaBi2O5 crystal. Source: Alexandria, functional PBE.

Cell and atoms, written as extended XYZ:
```
16
Lattice="-4.817 -4.370 -0.463 4.157 -4.755 1.620 -0.895 5.338 4.842" Properties=species:S:1:pos:R:3 pbc="T T T"
La -0.942 -4.174 3.289
La -0.612 0.388 2.710
Bi 0.561 -2.312 0.458
Bi -2.520 -3.728 -0.036
Bi 1.860 -5.396 1.193
Bi -1.221 -6.812 0.699
O -0.334 -1.755 4.341
O -0.132 -6.654 2.566
O 0.000 0.000 0.000
O -0.330 -4.562 0.579
O -1.423 2.868 3.433
O -3.174 -0.069 3.458
O 1.417 1.181 4.316
O 1.619 -3.718 2.542
O -2.972 -4.967 1.683
O -1.221 -2.031 1.659
```

Computed properties:
The calculation puts the formation energy without anion corrections at -1.6519 eV/atom. The value obtained for the energy above the most stable polymorph in this dataset is 1.021 eV per formula unit. As for the crystal system: tetragonal.

A relaxed Sc3IrC crystal. Source: Alexandria, functional PBE.

Cell and atoms, written as extended XYZ:
```
5
Lattice="-4.341 0.821 -0.075 -0.539 -2.518 3.591 0.624 3.537 2.574" Properties=species:S:1:pos:R:3 pbc="T T T"
Sc -0.269 -1.259 1.795
Sc 0.312 1.768 1.287
Sc -2.170 0.411 -0.038
C 0.000 0.000 0.000
Ir -2.128 0.920 3.045
```

Computed properties:
The value obtained for the energy above the most stable polymorph in this dataset is 0.000 eV per formula unit. As for the crystal system: cubic. For the formation energy from the elements, the calculation gives -0.528 eV per atom.

A relaxed CaSc2Si crystal. Source: Alexandria, functional PBE.

Cell and atoms, written as extended XYZ:
```
4
Lattice="3.261 0.000 0.000 0.000 3.261 0.000 0.000 0.000 9.179" Properties=species:S:1:pos:R:3 pbc="T T T"
Ca 1.630 1.630 6.884
Sc 0.000 0.000 0.651
Sc 0.000 0.000 3.938
Si 1.630 1.630 2.295
```

Computed properties:
The calculation puts the formation energy without anion corrections at -0.2049 eV/atom. As for the crystal system: tetragonal.

A relaxed AcPr6Sn4 crystal. Source: Alexandria, functional PBE.

Cell and atoms, written as extended XYZ:
```
11
Lattice="-6.303 3.599 4.220 -1.550 -5.958 -5.708 5.267 -5.262 3.880" Properties=species:S:1:pos:R:3 pbc="T T T"
Ac 0.000 0.000 0.000
Pr 1.428 -7.623 -2.717
Pr 3.551 -7.406 0.268
Pr -3.692 0.519 2.587
Pr -0.518 -0.831 4.050
Pr -0.156 -4.332 0.425
Pr -3.926 -1.180 -0.744
Sn 2.994 -4.378 1.362
Sn -2.140 -2.210 1.682
Sn 0.008 -4.683 -2.838
Sn 0.270 -7.571 0.358
```

Computed properties:
As for the crystal system: tetragonal. For the formation energy from the elements, the calculation gives -0.397 eV per atom.

A relaxed LiTe2AuI crystal. Source: Alexandria, functional PBE.

Cell and atoms, written as extended XYZ:
```
5
Lattice="5.122 0.000 0.000 0.000 5.122 0.000 0.000 0.000 5.313" Properties=species:S:1:pos:R:3 pbc="T T T"
I 0.000 0.000 2.656
Te 0.000 2.561 0.000
Te 2.561 0.000 0.000
Au 2.561 2.561 2.656
Li 0.000 0.000 0.000
```

Computed properties:
The calculation puts the formation energy without anion corrections at 0.3998 eV/atom. The value obtained for the energy above the most stable polymorph in this dataset is 1.538 eV per formula unit. As for the crystal system: tetragonal.

A relaxed Nb2SnB crystal. Source: Alexandria, functional PBE.

Cell and atoms, written as extended XYZ:
```
4
Lattice="0.805 -4.017 -1.936 -1.915 -3.748 1.678 -3.282 -2.098 -2.315" Properties=species:S:1:pos:R:3 pbc="T T T"
Nb -1.098 -2.466 -0.643
Nb -3.293 -7.397 -1.929
B 0.000 0.000 0.000
Sn -2.196 -4.931 -1.286
```

Computed properties:
The value obtained for the energy above the most stable polymorph in this dataset is 2.576 eV per formula unit. As for the crystal system: cubic. For the formation energy from the elements, the calculation gives 0.589 eV per atom.

A relaxed Ac2SmAg4 crystal. Source: Alexandria, functional PBE.

Cell and atoms, written as extended XYZ:
```
7
Lattice="5.403 0.000 -1.722 -0.549 5.375 -1.722 -0.534 -0.591 7.661" Properties=species:S:1:pos:R:3 pbc="T T T"
Ac 3.239 3.587 0.824
Ac 1.081 1.198 3.392
Ag 1.204 4.325 3.777
Ag 4.180 1.637 3.777
Ag 3.116 0.459 0.440
Ag 0.140 3.147 0.440
Sm 0.000 0.000 0.000
```

Computed properties:
As for the crystal system: tetragonal. For the formation energy from the elements, the calculation gives -0.103 eV per atom.

A relaxed WAuBr2 crystal. Source: Alexandria, functional PBE.

Cell and atoms, written as extended XYZ:
```
4
Lattice="3.155 0.000 0.000 0.000 4.509 0.029 0.000 2.189 7.582" Properties=species:S:1:pos:R:3 pbc="T T T"
Au 1.577 4.748 5.033
Br 0.000 2.480 6.986
Br 1.577 2.511 2.469
W 0.000 2.497 4.511
```

Computed properties:
The calculation puts the formation energy without anion corrections at 0.2177 eV/atom. The value obtained for the energy above the most stable polymorph in this dataset is 0.000 eV per formula unit. As for the crystal system: monoclinic.

A relaxed Er5CdBi crystal. Source: Alexandria, functional PBE.

Cell and atoms, written as extended XYZ:
```
14
Lattice="-2.828 3.089 4.924 -6.435 0.549 0.262 -5.688 -8.118 8.824" Properties=species:S:1:pos:R:3 pbc="T T T"
Er -7.742 1.408 6.604
Er -5.828 -2.923 6.166
Er -11.713 -3.445 9.560
Er -4.620 0.799 6.652
Er -11.915 -5.580 12.323
Er -3.036 1.100 1.687
Er -10.331 -5.279 7.358
Er -3.238 -1.036 4.450
Er -9.122 -1.558 7.844
Er -7.209 -5.888 7.405
Cd 0.000 0.000 0.000
Cd -2.844 -4.059 4.412
Bi -6.431 -0.476 4.311
Bi -8.520 -4.004 9.699
```

Computed properties:
As for the crystal system: monoclinic. For the formation energy from the elements, the calculation gives -0.089 eV per atom.

A relaxed KFeW crystal. Source: Alexandria, functional PBE.

Cell and atoms, written as extended XYZ:
```
3
Lattice="4.938 0.000 0.000 2.469 4.276 0.000 2.469 1.425 4.032" Properties=species:S:1:pos:R:3 pbc="T T T"
Fe 4.938 2.851 2.016
K 7.407 4.276 3.024
W 0.000 0.000 0.000
```

Computed properties:
The value obtained for the energy above the most stable polymorph in this dataset is 6.802 eV per formula unit. As for the crystal system: cubic. For the formation energy from the elements, the calculation gives 3.259 eV per atom.

A relaxed Hf2GeMo crystal. Source: Alexandria, functional PBE.

Cell and atoms, written as extended XYZ:
```
4
Lattice="3.467 0.000 0.000 0.000 3.467 0.000 0.000 0.000 6.100" Properties=species:S:1:pos:R:3 pbc="T T T"
Mo 1.733 1.733 3.050
Hf 0.000 0.000 4.566
Hf 0.000 0.000 1.534
Ge 1.733 1.733 0.000
```

Computed properties:
As for the crystal system: tetragonal. For the formation energy from the elements, the calculation gives -0.394 eV per atom.

A relaxed NaGaAu2 crystal. Source: Alexandria, functional PBE.

Cell and atoms, written as extended XYZ:
```
4
Lattice="-3.069 -0.573 0.844 0.971 -2.456 1.865 0.722 4.697 5.810" Properties=species:S:1:pos:R:3 pbc="T T T"
Na -0.688 0.834 4.259
Au 0.568 3.695 4.571
Au 0.154 1.002 1.239
Ga -1.049 -1.514 1.355
```

Computed properties:
As for the crystal system: tetragonal. For the formation energy from the elements, the calculation gives -0.202 eV per atom.

A relaxed La2MgH crystal. Source: Alexandria, functional PBE.

Cell and atoms, written as extended XYZ:
```
8
Lattice="-3.728 5.914 -2.495 -5.115 -4.480 -2.977 -6.447 0.834 0.568" Properties=species:S:1:pos:R:3 pbc="T T T"
H -4.421 0.717 -2.736
H -7.991 -1.464 -2.573
Mg 0.000 0.000 0.000
Mg -7.298 3.733 -2.331
La -4.191 2.727 -1.529
La -5.664 -1.234 -2.291
La -8.685 0.695 -1.937
La -12.037 2.349 -4.051
```

Computed properties:
The value obtained for the energy above the most stable polymorph in this dataset is 0.037 eV per formula unit. As for the crystal system: tetragonal.

A relaxed La5MgRh crystal. Source: Alexandria, functional PBE.

Cell and atoms, written as extended XYZ:
```
14
Lattice="6.224 -0.383 0.052 1.611 6.024 0.052 2.899 2.087 11.948" Properties=species:S:1:pos:R:3 pbc="T T T"
La 7.046 3.457 1.563
La 3.734 4.344 6.805
La 6.964 6.628 7.537
La 6.863 0.257 3.039
La 6.879 6.608 11.221
La 3.855 1.120 0.831
La 3.871 7.470 9.013
La 3.771 1.100 4.515
La 7.000 3.384 5.247
La 3.688 4.270 10.489
Mg 4.149 4.027 3.039
Mg 6.585 3.701 9.013
Rh 0.000 0.000 0.000
Rh 1.449 1.043 5.974
```

Computed properties:
As for the crystal system: monoclinic. For the formation energy from the elements, the calculation gives -0.190 eV per atom.

A relaxed Sc2PaAl crystal. Source: Alexandria, functional PBE.

Cell and atoms, written as extended XYZ:
```
4
Lattice="3.180 0.000 0.000 0.000 3.180 0.000 0.000 0.000 8.720" Properties=species:S:1:pos:R:3 pbc="T T T"
Sc 0.000 0.000 6.774
Sc 0.000 0.000 1.946
Pa 1.590 1.590 4.360
Al 1.590 1.590 0.000
```

Computed properties:
The value obtained for the energy above the most stable polymorph in this dataset is 0.000 eV per formula unit. As for the crystal system: tetragonal. For the formation energy from the elements, the calculation gives -0.170 eV per atom.

A relaxed Zn3GaO crystal. Source: Alexandria, functional PBE.

Cell and atoms, written as extended XYZ:
```
5
Lattice="4.705 0.000 0.000 0.000 4.705 0.000 0.000 0.000 4.705" Properties=species:S:1:pos:R:3 pbc="T T T"
Zn 0.000 2.352 0.000
Zn 0.000 0.000 2.352
Zn 2.352 0.000 0.000
O 2.352 2.352 2.352
Ga 0.000 0.000 0.000
```

Computed properties:
The calculation puts the formation energy without anion corrections at 0.5532 eV/atom. The value obtained for the energy above the most stable polymorph in this dataset is 3.299 eV per formula unit. As for the crystal system: cubic.

A relaxed Tl2Ag2PbBr6 crystal. Source: Alexandria, functional PBE.

Cell and atoms, written as extended XYZ:
```
11
Lattice="-1.156 2.123 7.800 5.265 -6.086 -1.838 2.599 7.258 -1.591" Properties=species:S:1:pos:R:3 pbc="T T T"
Tl 2.138 -0.079 4.613
Tl 4.569 3.374 -0.241
Ag 5.556 2.381 4.450
Ag 1.151 0.914 -0.078
Pb 0.721 4.691 3.105
Br 3.089 2.994 3.918
Br 4.785 -3.589 -0.489
Br 2.510 5.804 0.891
Br 1.922 6.884 4.861
Br 4.197 -2.508 3.480
Br 3.618 0.301 0.454
```

Computed properties:
The calculation puts the formation energy without anion corrections at -0.6531 eV/atom. As for the crystal system: monoclinic.

A relaxed MgAlH2 crystal. Source: Alexandria, functional PBE.

Cell and atoms, written as extended XYZ:
```
8
Lattice="-1.476 3.262 -2.798 -3.111 1.230 3.075 0.637 5.127 1.951" Properties=species:S:1:pos:R:3 pbc="T T T"
H -1.135 3.436 -0.844
H -1.987 2.496 2.027
H -1.279 5.544 1.603
H -3.500 7.762 1.669
Mg -2.294 2.246 0.138
Mg -2.384 4.302 2.582
Al 0.000 0.000 0.000
Al -1.567 5.318 -0.355
```

Computed properties:
As for the crystal system: tetragonal.

A relaxed PuGa2Au crystal. Source: Alexandria, functional PBE.

Cell and atoms, written as extended XYZ:
```
4
Lattice="4.816 0.000 0.000 2.408 4.170 0.000 2.408 1.390 3.932" Properties=species:S:1:pos:R:3 pbc="T T T"
Au 4.816 2.780 1.966
Ga 2.408 1.390 0.983
Ga 7.223 4.170 2.949
Pu 0.000 0.000 0.000
```

Computed properties:
As for the crystal system: cubic. For the formation energy from the elements, the calculation gives -0.304 eV per atom.

A relaxed Cr2CuPb crystal. Source: Alexandria, functional PBE.

Cell and atoms, written as extended XYZ:
```
4
Lattice="3.190 0.000 0.000 0.000 3.190 0.000 0.000 0.000 6.520" Properties=species:S:1:pos:R:3 pbc="T T T"
Cr 0.000 0.000 0.389
Cr 1.595 1.595 1.549
Cu 0.000 0.000 2.976
Pb 1.595 1.595 4.867
```

Computed properties:
As for the crystal system: tetragonal. For the formation energy from the elements, the calculation gives 0.414 eV per atom.

Results for E_tot: -6.39; -3.97; -4.26; -7.54; -3.69; -6.34; -7.94; -5.23; -4.83; -2.21; -7.12; -3.58; -4.68; -4.03; -4.25; -9.23; -2.93; -3.84; -4.99; -6.65; -1.81; -2.85; -2.75; -6.22; -6.35 (in eV/atom, following the order of the records).